Entry from Alexandria via LeMat-Bulk: an optimized crystal structure of Sr2ErGa2O6 (PBE).

Cell and atoms, written as CIF:
```
data_Sr2ErGa2O6
_symmetry_space_group_name_H-M 'P 1'
_symmetry_Int_Tables_number 1
_cell_length_a 5.9917
_cell_length_b 5.9917
_cell_length_c 6.9769
_cell_angle_alpha 90.00
_cell_angle_beta 90.00
_cell_angle_gamma 120.00
loop_
_symmetry_equiv_pos_as_xyz
'x,y,z'
loop_
_atom_site_label
_atom_site_fract_x
_atom_site_fract_y
_atom_site_fract_z
O1 0.6467 0.7328 0.1714
O2 0.0861 0.3533 0.1714
O3 0.3533 0.2672 0.8286
O4 0.2672 0.9139 0.1714
O5 0.7328 0.0861 0.8286
O6 0.9139 0.6467 0.8286
Sr1 0.6667 0.3333 0.1691
Sr2 0.3333 0.6667 0.8309
Er1 0.0000 0.0000 0.0000
Ga1 0.6667 0.3333 0.7346
Ga2 0.3333 0.6667 0.2653
```

Calculated values
Symmetry = P-3, No. 147
Energy relative to the elements, uncorrected = -2282 meV per atom
DOS at the Fermi energy = 2.643 states/eV/f.u.
Size of the total moment = 0.07 μB per atom
Uncorrected energy = -6.257 eV/atom

Entry from Alexandria via LeMat-Bulk: an optimized crystal structure of Ce5Sb4Te (PBE).

Cell and atoms, written as CIF:
```
data_Ce5Sb4Te
_symmetry_space_group_name_H-M 'P 1'
_symmetry_Int_Tables_number 1
_cell_length_a 4.4961
_cell_length_b 6.3648
_cell_length_c 11.9357
_cell_angle_alpha 105.46
_cell_angle_beta 100.86
_cell_angle_gamma 90.00
loop_
_symmetry_equiv_pos_as_xyz
'x,y,z'
loop_
_atom_site_label
_atom_site_fract_x
_atom_site_fract_y
_atom_site_fract_z
Ce1 0.2000 0.7000 0.4000
Ce2 0.8000 0.3000 0.6000
Ce3 0.0000 0.5000 0.0000
Ce4 0.6016 0.1016 0.2031
Ce5 0.3984 0.8984 0.7969
Sb1 0.7996 0.7996 0.5993
Sb2 0.2004 0.2004 0.4007
Sb3 0.4003 0.4003 0.8006
Sb4 0.5997 0.5997 0.1994
Te1 0.0000 0.0000 0.0000
```

Calculated values
Symmetry = Immm, No. 71
Energy relative to the elements, uncorrected = -1117 meV per atom
DOS at the Fermi energy = 34.285 states/eV/f.u.
Size of the total moment = 0.47 μB per atom
Uncorrected energy = -6.047 eV/atom

Entry from Alexandria via LeMat-Bulk: an optimized crystal structure of MgCu2Au2 (PBE).

Cell and atoms, written as CIF:
```
data_MgCu2Au2
_symmetry_space_group_name_H-M 'P 1'
_symmetry_Int_Tables_number 1
_cell_length_a 4.0294
_cell_length_b 4.8016
_cell_length_c 4.8816
_cell_angle_alpha 80.40
_cell_angle_beta 65.62
_cell_angle_gamma 65.19
loop_
_symmetry_equiv_pos_as_xyz
'x,y,z'
loop_
_atom_site_label
_atom_site_fract_x
_atom_site_fract_y
_atom_site_fract_z
Au1 0.5841 0.6258 0.2061
Au2 0.4159 0.3742 0.7939
Mg1 0.0000 0.0000 0.0000
Cu1 0.1900 0.2140 0.4061
Cu2 0.8100 0.7860 0.5939
```

Calculated values
Symmetry = C2/m, No. 12
DOS at the Fermi energy = 1.281 states/eV/f.u.
Size of the total moment = 0.00 μB per atom
Uncorrected energy = -3.504 eV/atom
Formation energy = -114 kJ/mol of formula units

Entry from Alexandria via LeMat-Bulk: an optimized crystal structure of LaThGe4 (PBE).

Cell and atoms, written as CIF:
```
data_LaThGe4
_symmetry_space_group_name_H-M 'P 1'
_symmetry_Int_Tables_number 1
_cell_length_a 5.7198
_cell_length_b 5.7198
_cell_length_c 5.7198
_cell_angle_alpha 60.00
_cell_angle_beta 60.00
_cell_angle_gamma 60.00
loop_
_symmetry_equiv_pos_as_xyz
'x,y,z'
loop_
_atom_site_label
_atom_site_fract_x
_atom_site_fract_y
_atom_site_fract_z
Ge1 0.6245 0.1266 0.6245
Ge2 0.6245 0.6245 0.1266
Ge3 0.6245 0.6245 0.6245
Ge4 0.1266 0.6245 0.6245
La1 0.0000 0.0000 0.0000
Th1 0.2500 0.2500 0.2500
```

Calculated values
Symmetry = F-43m, No. 216
DOS at the Fermi energy = 5.859 states/eV/f.u.
Size of the total moment = 0.00 μB per atom
Uncorrected energy = -5.505 eV/atom
Formation energy = -213 kJ/mol of formula units

Entry from Alexandria via LeMat-Bulk: an optimized crystal structure of Mg2ReTc (PBE).

Cell and atoms, written as CIF:
```
data_Mg2ReTc
_symmetry_space_group_name_H-M 'P 1'
_symmetry_Int_Tables_number 1
_cell_length_a 4.4489
_cell_length_b 4.4489
_cell_length_c 4.4489
_cell_angle_alpha 119.89
_cell_angle_beta 119.89
_cell_angle_gamma 90.18
loop_
_symmetry_equiv_pos_as_xyz
'x,y,z'
loop_
_atom_site_label
_atom_site_fract_x
_atom_site_fract_y
_atom_site_fract_z
Mg1 0.2500 0.7500 0.5000
Mg2 0.0000 0.0000 0.0000
Tc1 0.7500 0.2500 0.5000
Re1 0.5000 0.5000 0.0000
```

Calculated values
Symmetry = I-4m2, No. 119
DOS at the Fermi energy = 0.793 states/eV/f.u.
Size of the total moment = 0.00 μB per atom
Uncorrected energy = -6.387 eV/atom
Formation energy = 44 kJ/mol of formula units

Entry from Alexandria via LeMat-Bulk: an optimized crystal structure of CdGaAs2 (PBE).

Cell and atoms, written as CIF:
```
data_CdGaAs2
_symmetry_space_group_name_H-M 'P 1'
_symmetry_Int_Tables_number 1
_cell_length_a 4.8696
_cell_length_b 4.8696
_cell_length_c 4.8696
_cell_angle_alpha 60.00
_cell_angle_beta 60.00
_cell_angle_gamma 60.00
loop_
_symmetry_equiv_pos_as_xyz
'x,y,z'
loop_
_atom_site_label
_atom_site_fract_x
_atom_site_fract_y
_atom_site_fract_z
Ga1 0.0000 0.0000 0.0000
Cd1 0.5000 0.5000 0.5000
As1 0.7500 0.7500 0.7500
As2 0.2500 0.2500 0.2500
```

Calculated values
Symmetry = Fm-3m, No. 225
DOS at the Fermi energy = 2.143 states/eV/f.u.
Size of the total moment = 0.00 μB per atom
Uncorrected energy = -3.062 eV/atom
Formation energy = 96 kJ/mol of formula units

Entry from Alexandria via LeMat-Bulk: an optimized crystal structure of TcPt3I (PBE).

Cell and atoms, written as CIF:
```
data_TcPt3I
_symmetry_space_group_name_H-M 'P 1'
_symmetry_Int_Tables_number 1
_cell_length_a 4.9383
_cell_length_b 4.9383
_cell_length_c 4.9383
_cell_angle_alpha 90.00
_cell_angle_beta 90.00
_cell_angle_gamma 90.00
loop_
_symmetry_equiv_pos_as_xyz
'x,y,z'
loop_
_atom_site_label
_atom_site_fract_x
_atom_site_fract_y
_atom_site_fract_z
Pt1 0.5000 0.0000 0.0000
Pt2 0.0000 0.0000 0.5000
Pt3 0.0000 0.5000 0.0000
Tc1 0.5000 0.5000 0.5000
I1 0.0000 0.0000 0.0000
```

Calculated values
Symmetry = Pm-3m, No. 221
Energy relative to the elements, uncorrected = 1591 meV per atom
DOS at the Fermi energy = 1.583 states/eV/f.u.
Size of the total moment = 0.80 μB per atom
Uncorrected energy = -4.416 eV/atom

Entry from Alexandria via LeMat-Bulk: an optimized crystal structure of Sr2Mg (PBE).

Cell and atoms, written as CIF:
```
data_Sr2Mg
_symmetry_space_group_name_H-M 'P 1'
_symmetry_Int_Tables_number 1
_cell_length_a 7.3477
_cell_length_b 7.3477
_cell_length_c 14.0520
_cell_angle_alpha 139.14
_cell_angle_beta 139.14
_cell_angle_gamma 33.47
loop_
_symmetry_equiv_pos_as_xyz
'x,y,z'
loop_
_atom_site_label
_atom_site_fract_x
_atom_site_fract_y
_atom_site_fract_z
Sr1 0.4151 0.4151 0.4118
Sr2 0.2634 0.2634 0.5628
Sr3 0.1810 0.1810 0.8260
Sr4 0.0294 0.0294 0.9771
Mg1 0.8580 0.8580 0.1510
Mg2 0.5864 0.5864 0.2379
```

Calculated values
Symmetry = C2/m, No. 12
DOS at the Fermi energy = 3.326 states/eV/f.u.
Size of the total moment = 0.00 μB per atom
Uncorrected energy = -1.659 eV/atom
Formation energy = -2 kJ/mol of formula units

Entry from Alexandria via LeMat-Bulk: an optimized crystal structure of K2LiGaF6 (PBE).

Cell and atoms, written as CIF:
```
data_K2LiGaF6
_symmetry_space_group_name_H-M 'P 1'
_symmetry_Int_Tables_number 1
_cell_length_a 5.7221
_cell_length_b 5.7221
_cell_length_c 5.7221
_cell_angle_alpha 60.00
_cell_angle_beta 60.00
_cell_angle_gamma 60.00
loop_
_symmetry_equiv_pos_as_xyz
'x,y,z'
loop_
_atom_site_label
_atom_site_fract_x
_atom_site_fract_y
_atom_site_fract_z
Ga1 0.5000 0.5000 0.5000
F1 0.2611 0.7389 0.7389
F2 0.2611 0.7389 0.2611
F3 0.7389 0.2611 0.7389
F4 0.7389 0.7389 0.2611
F5 0.2611 0.2611 0.7389
F6 0.7389 0.2611 0.2611
K1 0.7500 0.7500 0.7500
K2 0.2500 0.2500 0.2500
Li1 0.0000 0.0000 0.0000
```

Calculated values
Symmetry = Fm-3m, No. 225
Energy relative to the elements, uncorrected = -2859 meV per atom
DOS at the Fermi energy = 0.000 states/eV/f.u.
Size of the total moment = 0.00 μB per atom
Uncorrected energy = -4.695 eV/atom

Entry from Alexandria via LeMat-Bulk: an optimized crystal structure of KCd2B2O6 (PBE).

Cell and atoms, written as CIF:
```
data_KCd2B2O6
_symmetry_space_group_name_H-M 'P 1'
_symmetry_Int_Tables_number 1
_cell_length_a 5.7540
_cell_length_b 5.4465
_cell_length_c 6.3245
_cell_angle_alpha 112.34
_cell_angle_beta 93.27
_cell_angle_gamma 60.39
loop_
_symmetry_equiv_pos_as_xyz
'x,y,z'
loop_
_atom_site_label
_atom_site_fract_x
_atom_site_fract_y
_atom_site_fract_z
B1 0.1930 0.7112 0.7567
B2 0.8070 0.2888 0.2433
K1 0.5000 0.0000 0.5000
Cd1 0.8390 0.3875 0.7708
Cd2 0.1610 0.6125 0.2292
O1 0.4256 0.7198 0.7626
O2 0.9937 0.8610 0.6411
O3 0.0063 0.1390 0.3589
O4 0.8537 0.4552 0.1484
O5 0.1463 0.5448 0.8516
O6 0.5744 0.2802 0.2374
```

Calculated values
Symmetry = P-1, No. 2
Energy relative to the elements, uncorrected = -1687 meV per atom
DOS at the Fermi energy = 2.931 states/eV/f.u.
Size of the total moment = 0.09 μB per atom
Uncorrected energy = -5.871 eV/atom

Entry from Alexandria via LeMat-Bulk: an optimized crystal structure of LaTbSmTl (PBE).

Cell and atoms, written as CIF:
```
data_LaTbSmTl
_symmetry_space_group_name_H-M 'P 1'
_symmetry_Int_Tables_number 1
_cell_length_a 5.6146
_cell_length_b 5.6146
_cell_length_c 5.6146
_cell_angle_alpha 60.00
_cell_angle_beta 60.00
_cell_angle_gamma 60.00
loop_
_symmetry_equiv_pos_as_xyz
'x,y,z'
loop_
_atom_site_label
_atom_site_fract_x
_atom_site_fract_y
_atom_site_fract_z
Tl1 0.0000 0.0000 0.0000
Sm1 0.7500 0.7500 0.7500
Tb1 0.5000 0.5000 0.5000
La1 0.2500 0.2500 0.2500
```

Calculated values
Symmetry = F-43m, No. 216
DOS at the Fermi energy = 5.407 states/eV/f.u.
Size of the total moment = 0.33 μB per atom
Uncorrected energy = -4.237 eV/atom
Formation energy = -29 kJ/mol of formula units

Entry from Alexandria via LeMat-Bulk: an optimized crystal structure of Sr2NbCuH (PBE).

Cell and atoms, written as CIF:
```
data_Sr2NbCuH
_symmetry_space_group_name_H-M 'P 1'
_symmetry_Int_Tables_number 1
_cell_length_a 5.9774
_cell_length_b 4.6372
_cell_length_c 5.9774
_cell_angle_alpha 90.00
_cell_angle_beta 90.00
_cell_angle_gamma 90.00
loop_
_symmetry_equiv_pos_as_xyz
'x,y,z'
loop_
_atom_site_label
_atom_site_fract_x
_atom_site_fract_y
_atom_site_fract_z
H1 0.5000 0.5000 0.5000
Nb1 0.0000 0.0000 0.0000
Cu1 0.0000 0.5000 0.0000
Sr1 0.5000 0.0000 0.0000
Sr2 0.0000 0.0000 0.5000
```

Calculated values
Symmetry = P4/mmm, No. 123
DOS at the Fermi energy = 4.934 states/eV/f.u.
Size of the total moment = 0.00 μB per atom
Uncorrected energy = -3.066 eV/atom